P.
## Pr7SmHo4 (PBE)

Data for a relaxed structure of Pr7SmHo4.

abc: 7.3467 6.3697 11.6551
angles: 79.57 50.96 90.04
Element x y z (fractional)
Ho (0.5881, 0.2773, 0.6666)
Ho (0.4119, 0.7227, 0.3334)
Ho (0.1640, 0.2189, 0.3360)
Ho (0.8360, 0.7811, 0.6640)
Pr (0.0837, 0.2805, 0.6647)
Pr (0.7440, 0.5005, 0.0027)
Pr (0.3347, 0.7778, 0.6655)
Pr (0.5000, 0.0000, 0.0000)
Pr (0.9163, 0.7195, 0.3353)
Pr (0.6653, 0.2222, 0.3345)
Pr (0.2560, 0.4995, 0.9973)
Sm (0.0000, 0.0000, 0.0000)

Q.
## Pr7SmHo4 (PBE)

Data for a relaxed structure of Pr7SmHo4.

abc: 6.0629 9.7946 8.6831
angles: 61.83 69.57 71.97
Element x y z (fractional)
Pr (0.7870, 0.8856, 0.5403)
Pr (0.5000, 0.0000, 0.0000)
Pr (0.2130, 0.1144, 0.4597)
Pr (0.2150, 0.7579, 0.8121)
Pr (0.7850, 0.2421, 0.1879)
Pr (0.0868, 0.5483, 0.2782)
Pr (0.9132, 0.4517, 0.7218)
Ho (0.3312, 0.3786, 0.9590)
Ho (0.5696, 0.3014, 0.5595)
Ho (0.4304, 0.6986, 0.4405)
Ho (0.6688, 0.6214, 0.0410)
Sm (0.0000, 0.0000, 0.0000)

P ends up most stable, edging out the next structure by 198 meV per atom.

P.
## Pr4Sm3Ho5 (PBE)

Data for a relaxed structure of Pr4Sm3Ho5.

abc: 5.9963 8.6331 9.7753
angles: 105.50 72.14 69.68
Element x y z (fractional)
Ho (0.7861, 0.5428, 0.8850)
Ho (0.2139, 0.4572, 0.1150)
Ho (0.5000, 0.5000, 0.5000)
Ho (0.3720, 0.0574, 0.1986)
Ho (0.6280, 0.9426, 0.8014)
Pr (0.1389, 0.7764, 0.9459)
Pr (0.1705, 0.0420, 0.6170)
Pr (0.8295, 0.9580, 0.3830)
Pr (0.8611, 0.2236, 0.0541)
Sm (0.5241, 0.6872, 0.2646)
Sm (0.0000, 0.5000, 0.5000)
Sm (0.4759, 0.3128, 0.7354)

Q.
## Pr4Sm3Ho5 (PBE)

Data for a relaxed structure of Pr4Sm3Ho5.

abc: 7.2178 9.5661 13.0471
angles: 137.30 56.21 139.10
Element x y z (fractional)
Sm (0.0000, 0.0000, 0.5000)
Sm (0.2545, 0.5031, 0.5007)
Sm (0.7455, 0.4969, 0.4993)
Ho (0.5000, 0.0000, 0.5000)
Ho (0.3346, 0.6682, 0.8334)
Ho (0.4155, 0.8357, 0.1676)
Ho (0.5845, 0.1643, 0.8324)
Ho (0.6654, 0.3318, 0.1666)
Pr (0.9177, 0.8327, 0.1672)
Pr (0.8313, 0.6631, 0.8321)
Pr (0.0823, 0.1673, 0.8328)
Pr (0.1687, 0.3369, 0.1679)

Q ends up most stable, edging out the next structure by 200 meV per atom.

P.
## Pr6Sm12Ho (PBE)

Data for a relaxed structure of Pr6Sm12Ho.

abc: 10.0195 10.0195 10.0195
angles: 112.47 112.47 112.47
Element x y z (fractional)
Ho (0.0000, 0.0000, 0.0000)
Sm (0.8789, 0.5000, 0.1211)
Sm (0.7377, 0.7377, 0.0961)
Sm (0.0961, 0.7377, 0.7377)
Sm (0.7377, 0.0961, 0.7377)
Sm (0.8789, 0.1211, 0.5000)
Sm (0.2623, 0.9039, 0.2623)
Sm (0.5000, 0.8789, 0.1211)
Sm (0.5000, 0.1211, 0.8789)
Sm (0.1211, 0.5000, 0.8789)
Sm (0.2623, 0.2623, 0.9039)
Sm (0.1211, 0.8789, 0.5000)
Sm (0.9039, 0.2623, 0.2623)
Pr (0.2681, 0.5264, 0.2681)
Pr (0.7319, 0.7319, 0.4736)
Pr (0.7319, 0.4736, 0.7319)
Pr (0.4736, 0.7319, 0.7319)
Pr (0.2681, 0.2681, 0.5264)
Pr (0.5264, 0.2681, 0.2681)

Q.
## Pr6Sm12Ho (PBE)

Data for a relaxed structure of Pr6Sm12Ho.

abc: 8.7353 8.7353 8.7353
angles: 91.87 91.87 91.87
Element x y z (fractional)
Sm (0.3767, 0.0622, 0.1402)
Sm (0.1402, 0.3767, 0.0622)
Sm (0.5344, 0.2087, 0.4704)
Sm (0.0622, 0.1402, 0.3767)
Sm (0.7913, 0.5296, 0.4656)
Sm (0.5296, 0.4656, 0.7913)
Sm (0.4656, 0.7913, 0.5296)
Sm (0.6233, 0.9378, 0.8598)
Sm (0.4704, 0.5344, 0.2087)
Sm (0.2087, 0.4704, 0.5344)
Sm (0.8598, 0.6233, 0.9378)
Sm (0.9378, 0.8598, 0.6233)
Pr (0.2588, 0.7234, 0.8712)
Pr (0.7412, 0.2766, 0.1288)
Pr (0.7234, 0.8712, 0.2588)
Pr (0.2766, 0.1288, 0.7412)
Pr (0.8712, 0.2588, 0.7234)
Pr (0.1288, 0.7412, 0.2766)
Ho (0.0000, 0.0000, 0.0000)

Q ends up most stable, edging out the next structure by 148 meV per atom.

P.
## PrSm2Ho6 (PBE)

Data for a relaxed structure of PrSm2Ho6.

abc: 6.0768 7.4629 7.4629
angles: 60.01 90.00 90.00
Element x y z (fractional)
Pr (0.0000, 0.0000, 0.0000)
Ho (0.2979, 0.8129, 0.3747)
Ho (0.7021, 0.6253, 0.1871)
Ho (0.7017, 0.1872, 0.1872)
Ho (0.2983, 0.8128, 0.8128)
Ho (0.2979, 0.3747, 0.8129)
Ho (0.7021, 0.1871, 0.6253)
Sm (0.2117, 0.3334, 0.3334)
Sm (0.7883, 0.6666, 0.6666)

Q.
## PrSm2Ho6 (PBE)

Data for a relaxed structure of PrSm2Ho6.

abc: 3.4875 9.7821 9.7821
angles: 63.54 79.80 79.80
Element x y z (fractional)
Pr (0.0000, 0.0000, 0.0000)
Ho (0.5000, 0.3163, 0.6837)
Ho (0.5000, 0.6837, 0.3163)
Ho (0.8205, 0.3456, 0.0106)
Ho (0.1795, 0.9894, 0.6544)
Ho (0.1795, 0.6544, 0.9894)
Ho (0.8205, 0.0106, 0.3456)
Sm (0.8434, 0.6578, 0.6578)
Sm (0.1566, 0.3422, 0.3422)

Q ends up most stable, edging out the next structure by 122 meV per atom.

P.
## Pr5Sm3Ho2 (PBE)

Data for a relaxed structure of Pr5Sm3Ho2.

abc: 10.1682 10.1701 11.3887
angles: 129.58 129.57 64.72
Element x y z (fractional)
Sm (0.0295, 0.7781, 0.2504)
Sm (0.7705, 0.0205, 0.0409)
Sm (0.9705, 0.2219, 0.7496)
Sm (0.2792, 0.5278, 0.7496)
Sm (0.2295, 0.9795, 0.9591)
Sm (0.7208, 0.4722, 0.2504)
Pr (0.2718, 0.5218, 0.0437)
Pr (0.3763, 0.1231, 0.7545)
Pr (0.0227, 0.7727, 0.5455)
Pr (0.7282, 0.4782, 0.9563)
Pr (0.8782, 0.6313, 0.7545)
Pr (0.9773, 0.2273, 0.4545)
Pr (0.4813, 0.7313, 0.4626)
Pr (0.1218, 0.3687, 0.2455)
Pr (0.6237, 0.8769, 0.2455)
Pr (0.5187, 0.2687, 0.5374)
Ho (0.7808, 0.0316, 0.7541)
Ho (0.2192, 0.9684, 0.2459)
Ho (0.4733, 0.7225, 0.7541)
Ho (0.5267, 0.2775, 0.2459)

Q.
## Pr5Sm3Ho2 (PBE)

Data for a relaxed structure of Pr5Sm3Ho2.

abc: 11.1626 10.0816 10.0816
angles: 56.50 56.39 56.39
Element x y z (fractional)
Pr (0.8750, 0.5211, 0.7289)
Pr (0.9978, 0.7522, 0.7522)
Pr (0.0022, 0.2478, 0.2478)
Pr (0.1250, 0.4789, 0.2711)
Pr (0.2500, 0.5000, 0.5000)
Pr (0.3750, 0.7289, 0.5211)
Pr (0.6250, 0.2711, 0.4789)
Pr (0.7500, 0.5000, 0.5000)
Pr (0.5022, 0.2478, 0.2478)
Pr (0.4978, 0.7522, 0.7522)
Ho (0.1219, 0.7938, 0.9623)
Ho (0.3781, 0.0377, 0.2062)
Ho (0.6219, 0.9623, 0.7938)
Ho (0.8781, 0.2062, 0.0377)
Sm (0.3753, 0.3753, 0.8741)
Sm (0.8753, 0.8741, 0.3753)
Sm (0.6247, 0.6247, 0.1259)
Sm (0.2500, 0.0000, 0.0000)
Sm (0.7500, 0.0000, 0.0000)
Sm (0.1247, 0.1259, 0.6247)

P ends up most stable, edging out the next structure by 185 meV per atom.

P.
## Pr4Sm7Ho (PBE)

Data for a relaxed structure of Pr4Sm7Ho.

abc: 6.9792 6.6230 11.9707
angles: 76.01 50.63 82.99
Element x y z (fractional)
Sm (0.1965, 0.4889, 0.0511)
Sm (0.0569, 0.3142, 0.6417)
Sm (0.9431, 0.6858, 0.3583)
Sm (0.7172, 0.1924, 0.3830)
Sm (0.2828, 0.8076, 0.6170)
Sm (0.5000, 0.0000, 0.0000)
Sm (0.8035, 0.5111, 0.9489)
Pr (0.4766, 0.3557, 0.7186)
Pr (0.7021, 0.8394, 0.6903)
Pr (0.5234, 0.6443, 0.2814)
Pr (0.2979, 0.1606, 0.3097)
Ho (0.0000, 0.0000, 0.0000)

Q.
## Pr4Sm7Ho (PBE)

Data for a relaxed structure of Pr4Sm7Ho.

abc: 6.0632 9.8348 8.7919
angles: 60.14 69.83 72.05
Element x y z (fractional)
Pr (0.6748, 0.6136, 0.0368)
Pr (0.4242, 0.7023, 0.4493)
Pr (0.5758, 0.2977, 0.5507)
Pr (0.3252, 0.3864, 0.9632)
Sm (0.5000, 0.0000, 0.0000)
Sm (0.7929, 0.2227, 0.1914)
Sm (0.9202, 0.4334, 0.7262)
Sm (0.7905, 0.8751, 0.5439)
Sm (0.2071, 0.7773, 0.8086)
Sm (0.0798, 0.5666, 0.2738)
Sm (0.2095, 0.1249, 0.4561)
Ho (0.0000, 0.0000, 0.0000)

P ends up most stable, edging out the next structure by 133 meV per atom.

P.
## PrSm6Ho12 (PBE)

Data for a relaxed structure of PrSm6Ho12.

abc: 8.7336 9.4316 9.4316
angles: 69.08 72.02 107.98
Element x y z (fractional)
Sm (0.9461, 0.3150, 0.4756)
Sm (0.3689, 0.7906, 0.6850)
Sm (0.6311, 0.2094, 0.3150)
Sm (0.5783, 0.5244, 0.7906)
Sm (0.4217, 0.4756, 0.2094)
Sm (0.0539, 0.6850, 0.5244)
Ho (0.8422, 0.9479, 0.4210)
Ho (0.7368, 0.5790, 0.3688)
Ho (0.8944, 0.6312, 0.9479)
Ho (0.1056, 0.3688, 0.0521)
Ho (0.4743, 0.1581, 0.7367)
Ho (0.2632, 0.4210, 0.6312)
Ho (0.6838, 0.8948, 0.8419)
Ho (0.2110, 0.7367, 0.1052)
Ho (0.5257, 0.8419, 0.2633)
Ho (0.3162, 0.1052, 0.1581)
Ho (0.1578, 0.0521, 0.5790)
Ho (0.7890, 0.2633, 0.8948)
Pr (0.0000, 0.0000, 0.0000)

Q.
## PrSm6Ho12 (PBE)

Data for a relaxed structure of PrSm6Ho12.

abc: 8.5524 8.5524 8.5524
angles: 91.34 91.34 91.34
Element x y z (fractional)
Ho (0.6181, 0.9309, 0.8582)
Ho (0.9309, 0.8582, 0.6181)
Ho (0.0691, 0.1418, 0.3819)
Ho (0.5323, 0.2081, 0.4731)
Ho (0.8582, 0.6181, 0.9309)
Ho (0.3819, 0.0691, 0.1418)
Ho (0.1418, 0.3819, 0.0691)
Ho (0.4677, 0.7919, 0.5269)
Ho (0.7919, 0.5269, 0.4677)
Ho (0.2081, 0.4731, 0.5323)
Ho (0.4731, 0.5323, 0.2081)
Ho (0.5269, 0.4677, 0.7919)
Sm (0.7250, 0.8620, 0.2540)
Sm (0.1380, 0.7460, 0.2750)
Sm (0.2540, 0.7250, 0.8620)
Sm (0.8620, 0.2540, 0.7250)
Sm (0.2750, 0.1380, 0.7460)
Sm (0.7460, 0.2750, 0.1380)
Pr (0.0000, 0.0000, 0.0000)

P ends up most stable, edging out the next structure by 168 meV per atom.

P.
## Pr2Sm8Ho (PBE)

Data for a relaxed structure of Pr2Sm8Ho.

abc: 5.1393 8.1329 9.6077
angles: 104.74 105.51 90.00
Element x y z (fractional)
Pr (0.7732, 0.3628, 0.5464)
Pr (0.2268, 0.6372, 0.4536)
Ho (0.5000, 0.0000, 0.0000)
Sm (0.9552, 0.2714, 0.9103)
Sm (0.1350, 0.1784, 0.2701)
Sm (0.5897, 0.4520, 0.1794)
Sm (0.4103, 0.5480, 0.8206)
Sm (0.8650, 0.8216, 0.7299)
Sm (0.0448, 0.7286, 0.0897)
Sm (0.3191, 0.0910, 0.6381)
Sm (0.6809, 0.9090, 0.3619)

Q.
## Pr2Sm8Ho (PBE)

Data for a relaxed structure of Pr2Sm8Ho.

abc: 6.7973 10.3349 10.3349
angles: 38.44 59.49 59.49
Element x y z (fractional)
Sm (0.2680, 0.4106, 0.4106)
Sm (0.1769, 0.7562, 0.7562)
Sm (0.8231, 0.2438, 0.2438)
Sm (0.7320, 0.5894, 0.5894)
Sm (0.7712, 0.6500, 0.1757)
Sm (0.2288, 0.3500, 0.8243)
Sm (0.7712, 0.1757, 0.6500)
Sm (0.2288, 0.8243, 0.3500)
Pr (0.5909, 0.8034, 0.8034)
Pr (0.4091, 0.1966, 0.1966)
Ho (0.0000, 0.0000, 0.0000)

P ends up most stable, edging out the next structure by 136 meV per atom.